{"formula": "Ho2PSe", "functional": "PBE", "state": "relaxed", "lattice": [[3.9460, 0.0000, 0.0000], [1.9730, 3.4173, 0.0000], [1.9730, 1.1391, 6.9366]], "species": ["Ho", "Ho", "Se", "P"], "frac_coords": [[0.2591, 0.2591, 0.2227], [0.0740, 0.0740, 0.7781], [0.4988, 0.4988, 0.5037], [0.6682, 0.6682, 0.9955]], "e_tot_ev_per_cell": -24.88, "raw_formation_energy_ev_per_atom": -1.71, "crystal_system": "trigonal", "sg": "R3m, No. 160", "e_above_lowest_polymorph_mev_per_atom": 59}